1.
# BaCdGa

BaCdGa after structural relaxation (PBE, the Open Quantum Materials Database).

Output
V: 114.60 Å³/cell
Total energy: -1.775 eV/atom

Unit cell a=5.452 b=5.452 c=5.452 alpha=60.00 beta=60.00 gamma=60.00
Element x y z (fractional)
Ba1 0.000 0.000 0.000
Cd1 0.250 0.250 0.250
Ga1 0.750 0.750 0.750

***

2.
# BaCd2GaGe

BaCd2GaGe after structural relaxation (PBE, the Open Quantum Materials Database).

Output
V: 128.63 Å³/cell
Total energy: -2.663 eV/atom

Unit cell a=6.707 b=6.707 c=6.707 alpha=138.99 beta=138.99 gamma=59.38
Element x y z (fractional)
Ba1 0.001 0.001 0.000
Cd1 0.751 0.251 0.500
Cd2 0.251 0.751 0.500
Ga1 0.388 0.388 0.000
Ge1 0.609 0.609 0.000

***

3.
# BaCdGa2Ir

BaCdGa2Ir after structural relaxation (PBE, the Open Quantum Materials Database).

Output
V: 114.22 Å³/cell
Total energy: -3.823 eV/atom

Unit cell a=6.417 b=6.417 c=6.417 alpha=138.63 beta=138.63 gamma=59.94
Element x y z (fractional)
Ba1 0.000 0.000 0.000
Cd1 0.750 0.250 0.500
Ga1 0.371 0.371 0.000
Ga2 0.629 0.629 0.000
Ir1 0.250 0.750 0.500

***

4.
# BaMgCd2Ga

BaMgCd2Ga after structural relaxation (PBE, the Open Quantum Materials Database).

Output
V: 137.89 Å³/cell
Total energy: -1.921 eV/atom

Unit cell a=6.855 b=6.855 c=6.855 alpha=138.88 beta=138.88 gamma=59.55
Element x y z (fractional)
Ba1 0.993 0.993 0.000
Cd1 0.756 0.256 0.500
Cd2 0.256 0.756 0.500
Ga1 0.382 0.382 0.000
Mg1 0.614 0.614 0.000

***

5.
# BaMg2CdGa

BaMg2CdGa after structural relaxation (PBE, the Open Quantum Materials Database).

Output
V: 139.56 Å³/cell
Total energy: -2.062 eV/atom

Unit cell a=7.003 b=7.003 c=7.003 alpha=140.19 beta=140.19 gamma=57.56
Element x y z (fractional)
Ba1 0.006 0.006 0.000
Cd1 0.391 0.391 0.000
Ga1 0.618 0.618 0.000
Mg1 0.742 0.242 0.500
Mg2 0.242 0.742 0.500

***

6.
# BaCd2GaPt

BaCd2GaPt after structural relaxation (PBE, the Open Quantum Materials Database).

Output
V: 126.07 Å³/cell
Total energy: -3.039 eV/atom

Unit cell a=6.733 b=6.733 c=6.733 alpha=139.79 beta=139.79 gamma=58.17
Element x y z (fractional)
Ba1 0.006 0.006 0.000
Cd1 0.748 0.248 0.500
Cd2 0.248 0.748 0.500
Ga1 0.393 0.393 0.000
Pt1 0.604 0.604 0.000

***

7.
# BaCdGa2Pt

BaCdGa2Pt after structural relaxation (PBE, the Open Quantum Materials Database).

Output
V: 236.61 Å³/cell
Total energy: -3.590 eV/atom

Unit cell a=4.655 b=4.655 c=10.917 alpha=90.00 beta=90.00 gamma=90.00
Element x y z (fractional)
Ba1 0.000 0.500 0.265
Ba2 0.500 0.000 0.735
Cd1 0.000 0.000 0.000
Cd2 0.500 0.500 0.000
Ga1 0.500 0.000 0.158
Ga2 0.000 0.000 0.500
Ga3 0.500 0.500 0.500
Ga4 0.000 0.500 0.842
Pt1 0.500 0.000 0.392
Pt2 0.000 0.500 0.608

***

8.
# BaCd2GaSn

BaCd2GaSn after structural relaxation (PBE, the Open Quantum Materials Database).

Output
V: 282.55 Å³/cell
Total energy: -2.528 eV/atom

Unit cell a=4.850 b=4.850 c=12.014 alpha=90.00 beta=90.00 gamma=90.00
Element x y z (fractional)
Ba1 0.000 0.500 0.258
Ba2 0.500 0.000 0.742
Cd1 0.000 0.000 0.000
Cd2 0.500 0.500 0.000
Cd3 0.500 0.000 0.382
Cd4 0.000 0.500 0.618
Ga1 0.000 0.000 0.500
Ga2 0.500 0.500 0.500
Sn1 0.500 0.000 0.142
Sn2 0.000 0.500 0.858

***

Which value of V does entry 3 give?
114.22 Å³/cell